# 1
VASP calculation (PBE) on a relaxed structure of DyInO3.

- Total magnetization: 0.00 μB per formula unit
- N(E_F): 0.00 states/eV/atom
- Calculated density: 7.500 g/cm3
- ΔE_f (raw): -2.58 eV/atom

Cell lengths 6.3537, 6.3537, 12.3613 Å; angles 90.00, 90.00, 120.00 degrees
Positions (direct):
In1 0.3335 0.0000 0.9959
In2 0.3335 0.3335 0.4959
O1 0.3333 0.6667 0.5267
Dy1 0.6667 0.3333 0.2302
O2 0.3631 0.0000 0.8260
O3 0.3631 0.3631 0.3260
O4 0.6667 0.3333 0.5267
Dy2 0.0000 0.0000 0.2659
Dy3 0.3333 0.6667 0.2302
O5 0.6369 0.6369 0.8260
O6 0.6667 0.3333 0.0267
O7 0.0000 0.0000 0.4622
O8 0.0000 0.6369 0.3260
In3 0.0000 0.6665 0.4959
O9 0.6946 0.6946 0.1679
In4 0.6665 0.0000 0.4959
O10 0.0000 0.6946 0.6679
Dy4 0.3333 0.6667 0.7302
O11 0.0000 0.3631 0.8260
In5 0.6665 0.6665 0.9959
Dy5 0.0000 0.0000 0.7659
O12 0.6369 0.0000 0.3260
O13 0.0000 0.0000 0.9622
Dy6 0.6667 0.3333 0.7302
O14 0.3054 0.3054 0.6679
O15 0.3333 0.6667 0.0267
O16 0.6946 0.0000 0.6679
O17 0.0000 0.3054 0.1679
O18 0.3054 0.0000 0.1679
In6 0.0000 0.3335 0.9959

# 2
VASP calculation (PBE) on a relaxed structure of ScCdTe2.

- Total magnetization: 0.00 μB per formula unit
- N(E_F): 0.36 states/eV/atom
- Calculated density: 6.622 g/cm3
- ΔE_f (raw): -0.58 eV/atom

Cell lengths 3.7181, 3.7181, 7.4835 Å; angles 90.00, 90.00, 90.00 degrees
Positions (direct):
Te1 0.0000 0.0000 0.5270
Sc1 0.5000 0.5000 0.7500
Te2 0.0000 0.0000 0.9730
Cd1 0.5000 0.5000 0.2500

# 3
VASP calculation (PBE) on a relaxed structure of Mn2NiHg.

- Total magnetization: 7.85 μB per formula unit
- N(E_F): 0.39 states/eV/atom
- Energy of formation: 285 meV/atom
- Calculated density: 10.199 g/cm3

Cell lengths 4.3969, 4.3969, 4.3969 Å; angles 60.00, 60.00, 60.00 degrees
Last column: magnetic moment on the atom in μB.
Positions (direct):
Mn1 0.0000 0.0000 0.0000  3.59
Ni1 0.7500 0.7500 0.7500  0.52
Hg1 0.5000 0.5000 0.5000  -0.05
Mn2 0.2500 0.2500 0.2500  3.63

# 4
VASP calculation (PBE) on a relaxed structure of CrFe2Mo.

- Total magnetization: 2.77 μB per formula unit
- N(E_F): 1.10 states/eV/atom
- Energy of formation: 295 meV/atom
- Calculated density: 8.491 g/cm3

Cell lengths 8.7261, 8.7261, 8.7261 Å; angles 17.21, 17.21, 17.21 degrees
Last column: magnetic moment on the atom in μB.
Positions (direct):
Fe1 0.2559 0.2559 0.2559  2.11
Fe2 0.0013 0.0013 0.0013  1.51
Mo1 0.5006 0.5006 0.5006  -0.12
Cr1 0.7423 0.7423 0.7423  -0.66